Entry 1:
7
Lattice="3.628 0.000 1.329 1.497 5.136 1.529 0.019 0.079 5.563" Properties=species:S:1:pos:R:3 comment="GaGeF5 (PBE, relaxed)" space_group="Immm, No. 71" dos_at_fermi_per_ev_atom=0.00 formation_energy_uncorrected_ev_per_atom=-2.342 pbc="T T T"
F 1.814 0.000 0.665
F 1.065 3.659 2.707
F 0.450 1.556 4.385
F 3.131 1.226 2.684
F 2.012 3.989 5.737
Ga 0.000 0.000 0.000
Ge 2.572 2.607 4.211

---

Entry 2:
6
Lattice="3.753 -2.167 0.000 0.000 4.334 0.000 0.000 0.000 11.212" Properties=species:S:1:pos:R:3 comment="AlAgPb (PBE, relaxed)" space_group="P6_3/mmc, No. 194" dos_at_fermi_per_ev_atom=0.70 e_form_mev_per_atom=531 pbc="T T T"
Ag 2.502 0.000 8.409
Ag 1.251 2.167 2.803
Al 0.000 0.000 8.409
Al 0.000 0.000 2.803
Pb 0.000 0.000 0.000
Pb 0.000 0.000 5.606

---

Entry 3:
8
Lattice="5.176 0.000 0.000 0.000 5.176 0.000 2.588 2.588 4.951" Properties=species:S:1:pos:R:3 comment="TaSbC2 (PBE, relaxed)" space_group="I-42d, No. 122" dos_at_fermi_per_ev_atom=0.31 formation_energy_uncorrected_ev_per_atom=0.776 pbc="T T T"
Sb 2.588 5.176 2.475
Sb 2.588 2.588 0.000
C 6.470 6.702 3.713
C 1.062 3.882 1.238
C 4.114 1.294 1.238
C 3.882 3.650 3.713
Ta 5.176 2.588 2.475
Ta 0.000 0.000 0.000

---

Entry 4:
5
Lattice="-1.748 2.074 -2.626 -1.901 -3.054 -1.146 -2.754 0.792 2.458" Properties=species:S:1:pos:R:3 comment="ZnGeH3 (PBE, relaxed)" space_group="Pm-3m, No. 221" dos_at_fermi_per_ev_atom=0.14 e_above_lowest_polymorph_mev_per_atom=0 pbc="T T T"
Ge 0.000 0.000 0.000
H -0.950 -1.527 -0.573
H -1.377 0.396 1.229
H -0.874 1.037 -1.313
Zn -3.201 -0.094 -0.657

---

Total magnetization, record by record: 0.00 0.00 0.00 0.00 μB/f.u.